Record 1
Entry from Alexandria: a relaxed structure of CaTaAl (PBE).

## Properties
Final energy: -5.59 eV per atom
Distance to the lowest polymorph of the same formula: 119 meV/atom
Calculated formation energy: 0.276 eV per atom

Cell: 2.983 3.955 11.212 Å, 90.00 90.00 90.00°
Positions (direct):
Ca (0.000, 0.000, 0.000)
Ca (0.500, 0.500, 0.500)
Ta (0.000, 0.000, 0.700)
Ta (0.500, 0.500, 0.200)
Al (0.000, 0.000, 0.310)
Al (0.500, 0.500, 0.810)

Record 2
Entry from Alexandria: a relaxed structure of Ca2TaAl (PBE).

## Properties
Final energy: -4.44 eV per atom
Calculated formation energy: 0.462 eV per atom

Cell: 3.164 4.964 6.108 Å, 90.00 90.35 90.00°
Positions (direct):
Ca (0.002, 0.000, 0.249)
Ca (0.998, 0.000, 0.751)
Ta (0.500, 0.500, 0.000)
Al (0.500, 0.500, 0.500)

Record 3
Entry from Alexandria: a relaxed structure of Ca2TaAl (PBE).

## Properties
Final energy: -4.51 eV per atom
Calculated formation energy: 0.390 eV per atom

Cell: 3.266 4.890 6.583 Å, 90.00 104.25 90.00°
Positions (direct):
Ca (0.000, 0.000, 0.000)
Ca (0.325, 0.500, 0.654)
Ta (0.610, 0.500, 0.221)
Al (0.713, 0.000, 0.429)

Question: Number 1 is which compound?
Answer: CaTaAl